Tb2TmHf: optimized geometry, PBE.

Output
* calculated volume: 112.84 Å³ per cell
* formation enthalpy at 0 K: 0.6 eV/f.u.
* spin magnetization: 0.00 μB/cell
* polymorph energy (0 for the lowest one): 0.023 eV per atom

Lattice parameters (Å, degrees): 4.810 4.843 4.843 90.00 90.00 90.00
Atoms (fractional coordinates):
Tm 0.500 0.000 0.000
Tb 0.000 0.500 0.000
Tb 0.000 0.000 0.500
Hf 0.500 0.500 0.500

=====

YHfSc2: optimized geometry, PBE.

Output
* calculated volume: 100.96 Å³ per cell
* formation enthalpy at 0 K: 0.5 eV/f.u.
* spin magnetization: 0.00 μB/cell
* polymorph energy (0 for the lowest one): 0.071 eV per atom

Lattice parameters (Å, degrees): 4.610 4.680 4.680 90.00 90.00 90.00
Atoms (fractional coordinates):
Hf 0.500 0.500 0.500
Sc 0.000 0.000 0.500
Sc 0.000 0.500 0.000
Y 0.500 0.000 0.000

=====

Dy4SnAu: optimized geometry, PBE.

Output
* calculated volume: 360.03 Å³ per cell
* formation enthalpy at 0 K: -2.5 eV/f.u.
* spin magnetization: 0.00 μB/cell

Lattice parameters (Å, degrees): 5.419 6.399 10.730 90.00 104.63 90.00
Atoms (fractional coordinates):
Dy 0.703 0.077 0.405
Dy 0.297 0.067 0.594
Dy 0.882 0.322 0.765
Dy 0.118 0.822 0.235
Dy 0.444 0.823 0.888
Dy 0.556 0.323 0.112
Dy 0.297 0.577 0.595
Dy 0.703 0.567 0.406
Au 0.580 0.822 0.160
Au 0.420 0.322 0.840
Sn 0.155 0.322 0.310
Sn 0.845 0.822 0.690

=====

TiH3Ru3: optimized geometry, PBE.

Output
* calculated volume: 62.52 Å³ per cell
* spin magnetization: 0.00 μB/cell
* final energy: -6.77 eV/atom

Lattice parameters (Å, degrees): 3.969 3.969 3.969 90.00 90.00 90.00
Atoms (fractional coordinates):
H 0.500 0.500 0.000
H 0.500 0.000 0.500
H 0.000 0.500 0.500
Ti 0.500 0.500 0.500
Ru 0.000 0.500 0.000
Ru 0.000 0.000 0.500
Ru 0.500 0.000 0.000

=====

MgBe: optimized geometry, PBE.

Output
* calculated volume: 191.18 Å³ per cell
* formation enthalpy at 0 K: 0.6 eV/f.u.
* spin magnetization: 0.00 μB/cell
* polymorph energy (0 for the lowest one): 0.111 eV per atom

Lattice parameters (Å, degrees): 2.876 10.686 6.220 90.00 90.00 90.00
Atoms (fractional coordinates):
Be 0.500 0.500 0.800
Be 0.500 0.101 0.600
Be 0.500 0.601 0.100
Be 0.500 0.000 0.300
Be 0.500 0.399 0.100
Be 0.500 0.899 0.600
Mg 0.000 0.711 0.789
Mg 0.000 0.211 0.289
Mg 0.000 0.789 0.289
Mg 0.000 0.500 0.422
Mg 0.000 0.289 0.789
Mg 0.000 0.000 0.922

=====

Ac2CuAu5: optimized geometry, PBE.

Output
* calculated volume: 205.35 Å³ per cell
* formation enthalpy at 0 K: -4.0 eV/f.u.
* spin magnetization: 0.00 μB/cell

Lattice parameters (Å, degrees): 6.610 6.610 6.610 90.62 119.64 119.64
Atoms (fractional coordinates):
Au 0.552 0.268 0.268
Au 0.000 0.268 0.716
Au 0.448 0.716 0.716
Au 0.000 0.716 0.268
Au 0.000 0.279 0.279
Ac 0.500 0.236 0.736
Ac 0.500 0.736 0.236
Cu 0.000 0.002 0.002